No. 1
Density functional theory data (PBE-GGA) for a relaxed structure of BiSbRh.

Unit cell a=4.676 b=4.676 c=4.676 alpha=60.00 beta=60.00 gamma=60.00
Sites, in units of the cell vectors:
Rh  0.250  0.250  0.250
Sb  0.500  0.500  0.500
Bi  0.000  0.000  0.000

Calculated values
Polymorph energy (0 for the lowest one) = 6.1 kJ per mole of atoms
Formation energy without anion corrections = -0.233 eV per atom
Calculated total energy = -5.352 eV per atom
Magnetization = 0.00 μB per formula unit


No. 2
Density functional theory data (PBE-GGA) for a relaxed structure of BiSb3Rh.

Unit cell a=5.202 b=5.202 c=5.202 alpha=90.00 beta=90.00 gamma=90.00
Sites, in units of the cell vectors:
Bi  0.500  0.500  0.500
Sb  0.500  0.000  0.000
Sb  0.000  0.500  0.000
Sb  0.000  0.000  0.500
Rh  0.000  0.000  0.000

Calculated values
Polymorph energy (0 for the lowest one) = 0.0 kJ per mole of atoms
Formation energy without anion corrections = 0.239 eV per atom
Calculated total energy = -4.481 eV per atom
Magnetization = 0.00 μB per formula unit


No. 3
Density functional theory data (PBE-GGA) for a relaxed structure of BiSb2Rh.

Unit cell a=6.457 b=6.457 c=7.773 alpha=65.46 beta=65.46 gamma=90.00
Sites, in units of the cell vectors:
Sb  0.558  0.125  0.250
Sb  0.375  0.442  0.750
Sb  0.192  0.625  0.250
Sb  0.875  0.808  0.750
Bi  0.000  0.000  0.000
Bi  0.750  0.250  0.500
Rh  0.250  0.750  0.500
Rh  0.500  0.500  0.000

Calculated values
Formation energy without anion corrections = 0.035 eV per atom
Calculated total energy = -4.834 eV per atom
Magnetization = 0.00 μB per formula unit


No. 4
Density functional theory data (PBE-GGA) for a relaxed structure of BiSbRh.

Unit cell a=3.309 b=3.309 c=6.822 alpha=104.01 beta=104.01 gamma=90.10
Sites, in units of the cell vectors:
Bi  0.303  0.303  0.606
Sb  0.040  0.040  0.080
Rh  0.657  0.657  0.314

Calculated values
Polymorph energy (0 for the lowest one) = 8.3 kJ per mole of atoms
Formation energy without anion corrections = -0.211 eV per atom
Calculated total energy = -5.329 eV per atom
Magnetization = 0.00 μB per formula unit


No. 5
Density functional theory data (PBE-GGA) for a relaxed structure of BiSbRh.

Unit cell a=5.877 b=6.621 c=7.573 alpha=97.17 beta=90.00 gamma=90.00
Sites, in units of the cell vectors:
Rh  0.000  0.213  0.115
Rh  0.000  0.787  0.885
Rh  0.500  0.787  0.385
Rh  0.500  0.213  0.615
Bi  0.733  0.434  0.899
Bi  0.233  0.566  0.601
Bi  0.767  0.434  0.399
Bi  0.267  0.566  0.101
Sb  0.186  0.064  0.389
Sb  0.814  0.936  0.611
Sb  0.686  0.936  0.111
Sb  0.314  0.064  0.889

Calculated values
Polymorph energy (0 for the lowest one) = 0.0 kJ per mole of atoms
Formation energy without anion corrections = -0.297 eV per atom
Calculated total energy = -5.415 eV per atom
Magnetization = 0.00 μB per formula unit


No. 6
Density functional theory data (PBE-GGA) for a relaxed structure of BiSb2Rh2.

Unit cell a=4.643 b=4.643 c=6.182 alpha=67.94 beta=67.94 gamma=90.00
Sites, in units of the cell vectors:
Rh  0.250  0.750  0.500
Rh  0.750  0.250  0.500
Bi  0.000  0.000  0.000
Sb  0.635  0.635  0.730
Sb  0.365  0.365  0.270

Calculated values
Polymorph energy (0 for the lowest one) = 4.5 kJ per mole of atoms
Formation energy without anion corrections = -0.108 eV per atom
Calculated total energy = -5.474 eV per atom
Magnetization = 0.00 μB per formula unit


No. 7
Density functional theory data (PBE-GGA) for a relaxed structure of BiSb2Rh2.

Unit cell a=7.956 b=7.956 c=3.301 alpha=90.00 beta=90.00 gamma=90.00
Sites, in units of the cell vectors:
Sb  0.648  0.852  0.500
Sb  0.352  0.148  0.500
Sb  0.148  0.648  0.500
Sb  0.852  0.352  0.500
Rh  0.631  0.131  0.000
Rh  0.869  0.631  0.000
Rh  0.369  0.869  0.000
Rh  0.131  0.369  0.000
Bi  0.500  0.500  0.000
Bi  0.000  0.000  0.000

Calculated values
Polymorph energy (0 for the lowest one) = 0.0 kJ per mole of atoms
Formation energy without anion corrections = -0.154 eV per atom
Calculated total energy = -5.520 eV per atom
Magnetization = 0.00 μB per formula unit


No. 8
Density functional theory data (PBE-GGA) for a relaxed structure of ScBiSb2Rh.

Unit cell a=5.342 b=5.472 c=5.342 alpha=90.00 beta=90.00 gamma=90.00
Last column: magnetic moment on the atom in μB.
Sites, in units of the cell vectors:
Sc  0.000  0.000  0.000  0.03
Sb  0.500  0.000  0.000  0.01
Sb  0.000  0.000  0.500  0.00
Rh  0.500  0.500  0.500  0.52
Bi  0.000  0.500  0.000  -0.01

Calculated values
Formation energy without anion corrections = 0.743 eV per atom
Calculated total energy = -4.419 eV per atom
Magnetization = 0.58 μB per formula unit


No. 9
Density functional theory data (PBE-GGA) for a relaxed structure of SiBi2SbRh.

Unit cell a=5.268 b=5.056 c=5.268 alpha=90.00 beta=90.00 gamma=90.00
Sites, in units of the cell vectors:
Bi  0.500  0.000  0.000
Bi  0.000  0.000  0.500
Si  0.000  0.000  0.000
Rh  0.500  0.500  0.500
Sb  0.000  0.500  0.000

Calculated values
Formation energy without anion corrections = 0.995 eV per atom
Calculated total energy = -3.936 eV per atom
Magnetization = 0.00 μB per formula unit


No. 10
Density functional theory data (PBE-GGA) for a relaxed structure of SiBiSb2Rh.

Unit cell a=5.791 b=4.971 c=5.791 alpha=90.00 beta=90.00 gamma=90.00
Sites, in units of the cell vectors:
Sb  0.500  0.000  0.000
Sb  0.000  0.000  0.500
Si  0.500  0.500  0.500
Rh  0.000  0.500  0.000
Bi  0.000  0.000  0.000

Calculated values
Formation energy without anion corrections = 1.345 eV per atom
Calculated total energy = -3.636 eV per atom
Magnetization = 0.00 μB per formula unit


No. 11
Density functional theory data (PBE-GGA) for a relaxed structure of SrBi2SbRh2.

Unit cell a=5.005 b=5.005 c=6.633 alpha=90.00 beta=90.00 gamma=90.00
Sites, in units of the cell vectors:
Bi  0.500  0.500  0.752
Bi  0.500  0.500  0.248
Rh  0.500  0.000  0.000
Rh  0.000  0.500  0.000
Sb  0.000  0.000  0.000
Sr  0.000  0.000  0.500

Calculated values
Formation energy without anion corrections = -0.243 eV per atom
Calculated total energy = -4.954 eV per atom
Magnetization = 0.00 μB per formula unit


No. 12
Density functional theory data (PBE-GGA) for a relaxed structure of Ta2BiSbRh.

Unit cell a=5.030 b=5.583 c=5.030 alpha=90.00 beta=90.00 gamma=90.00
Sites, in units of the cell vectors:
Ta  0.000  0.000  0.500
Ta  0.500  0.000  0.000
Bi  0.000  0.500  0.000
Rh  0.500  0.500  0.500
Sb  0.000  0.000  0.000

Calculated values
Formation energy without anion corrections = 2.005 eV per atom
Calculated total energy = -5.807 eV per atom
Magnetization = 0.00 μB per formula unit


No. 13
Density functional theory data (PBE-GGA) for a relaxed structure of Tc2BiSbRh.

Unit cell a=4.821 b=5.596 c=4.821 alpha=90.00 beta=90.00 gamma=90.00
Sites, in units of the cell vectors:
Sb  0.000  0.000  0.000
Tc  0.000  0.000  0.500
Tc  0.500  0.000  0.000
Rh  0.500  0.500  0.500
Bi  0.000  0.500  0.000

Calculated values
Formation energy without anion corrections = 1.997 eV per atom
Calculated total energy = -5.220 eV per atom
Magnetization = 0.01 μB per formula unit


No. 14
Density functional theory data (PBE-GGA) for a relaxed structure of TcBi2SbRh.

Unit cell a=5.782 b=4.799 c=5.782 alpha=90.00 beta=90.00 gamma=90.00
Last column: magnetic moment on the atom in μB.
Sites, in units of the cell vectors:
Bi  0.000  0.000  0.500  -0.17
Bi  0.500  0.000  0.000  -0.21
Tc  0.500  0.500  0.500  3.40
Sb  0.000  0.000  0.000  0.01
Rh  0.000  0.500  0.000  -0.12

Calculated values
Formation energy without anion corrections = 1.440 eV per atom
Calculated total energy = -4.480 eV per atom
Magnetization = 3.37 μB per formula unit


No. 15
Density functional theory data (PBE-GGA) for a relaxed structure of BiSb2TeRh.

Unit cell a=5.098 b=5.098 c=5.506 alpha=90.00 beta=90.00 gamma=90.00
Sites, in units of the cell vectors:
Sb  0.000  0.500  0.000
Sb  0.500  0.000  0.000
Te  0.000  0.000  0.500
Bi  0.500  0.500  0.500
Rh  0.000  0.000  0.000

Calculated values
Polymorph energy (0 for the lowest one) = 0.0 kJ per mole of atoms
Formation energy without anion corrections = 0.228 eV per atom
Calculated total energy = -4.295 eV per atom
Magnetization = 0.00 μB per formula unit


No. 16
Density functional theory data (PBE-GGA) for a relaxed structure of BiSb2TeRh.

Unit cell a=5.729 b=5.729 c=5.873 alpha=90.00 beta=90.00 gamma=90.00
Last column: magnetic moment on the atom in μB.
Sites, in units of the cell vectors:
Bi  0.000  0.000  0.000  0.01
Sb  0.000  0.500  0.000  -0.04
Sb  0.500  0.000  0.000  -0.04
Te  0.000  0.000  0.500  0.02
Rh  0.500  0.500  0.500  1.22

Calculated values
Polymorph energy (0 for the lowest one) = 117.3 kJ per mole of atoms
Formation energy without anion corrections = 1.444 eV per atom
Calculated total energy = -3.079 eV per atom
Magnetization = 1.12 μB per formula unit


No. 17
Density functional theory data (PBE-GGA) for a relaxed structure of ThBi2Sb2Rh7.

Unit cell a=4.050 b=4.050 c=15.203 alpha=84.85 beta=84.85 gamma=90.14
Sites, in units of the cell vectors:
Th  0.000  0.000  0.000
Rh  0.452  0.952  0.140
Rh  0.048  0.548  0.860
Rh  0.548  0.048  0.860
Rh  0.633  0.633  0.573
Rh  0.500  0.500  0.000
Rh  0.952  0.452  0.140
Rh  0.367  0.367  0.427
Sb  0.586  0.586  0.749
Sb  0.414  0.414  0.251
Bi  0.136  0.136  0.598
Bi  0.864  0.864  0.402

Calculated values
Formation energy without anion corrections = -0.335 eV per atom
Calculated total energy = -6.576 eV per atom
Magnetization = 0.00 μB per formula unit


No. 18
Density functional theory data (PBE-GGA) for a relaxed structure of BiSbRh2W.

Unit cell a=4.836 b=5.049 c=4.836 alpha=90.00 beta=90.00 gamma=90.00
Last column: magnetic moment on the atom in μB.
Sites, in units of the cell vectors:
W  0.000  0.500  0.000  1.09
Rh  0.500  0.000  0.000  0.12
Rh  0.000  0.000  0.500  0.11
Bi  0.500  0.500  0.500  -0.07
Sb  0.000  0.000  0.000  -0.02

Calculated values
Formation energy without anion corrections = 1.192 eV per atom
Calculated total energy = -5.940 eV per atom
Magnetization = 1.54 μB per formula unit


No. 19
Density functional theory data (PBE-GGA) for a relaxed structure of Zn2BiSbRh.

Unit cell a=5.068 b=5.962 c=5.068 alpha=90.00 beta=90.00 gamma=90.00
Sites, in units of the cell vectors:
Sb  0.000  0.500  0.000
Zn  0.500  0.000  0.000
Zn  0.000  0.000  0.500
Bi  0.000  0.000  0.000
Rh  0.500  0.500  0.500

Calculated values
Formation energy without anion corrections = 1.264 eV per atom
Calculated total energy = -2.317 eV per atom
Magnetization = 0.00 μB per formula unit


No. 20
Density functional theory data (PBE-GGA) for a relaxed structure of Sc2BiRh2.

Unit cell a=3.801 b=3.801 c=7.962 alpha=76.19 beta=76.19 gamma=90.00
Sites, in units of the cell vectors:
Sc  0.374  0.374  0.252
Sc  0.626  0.626  0.748
Rh  0.250  0.750  0.500
Rh  0.750  0.250  0.500
Bi  0.000  0.000  0.000

Calculated values
Polymorph energy (0 for the lowest one) = 24.8 kJ per mole of atoms
Calculated total energy = -6.720 eV per atom
Magnetization = 0.00 μB per formula unit
DFT formation energy = -2.35 eV per formula unit